# 1
Below is crystalline Ho3Al2Ga4 at its relaxed geometry, with properties calculated at the PBE-GGA level.

Values from the calculation:
The value obtained for the spin magnetization is 0.00 μB per formula unit. As for the total energy: -38.6 eV per cell. The value obtained for the volume is 20.233 A^3/atom. The value obtained for the energy relative to the elements is -0.58 eV/atom.

Unit cell a=5.6994 b=5.6994 c=8.4667 alpha=110.34 beta=110.34 gamma=45.63
Closest atoms and distances in Å follow each position.
Positions (direct):
Ho1 0.0000 0.0000 0.0000  8 Ga 3.04-3.21, 4 Al 3.15
Ho2 0.3391 0.3391 0.3287  8 Ga 3.00-3.17, 4 Al 3.09-3.14
Ho3 0.6609 0.6609 0.6713  8 Ga 3.00-3.17, 4 Al 3.09-3.14
Al1 0.3825 0.3825 0.7168  3 Ga 2.55-2.56
Al2 0.6175 0.6175 0.2832  3 Ga 2.55-2.56
Ga1 0.0697 0.0697 0.4027  2 Al 2.56, 1 Ga 2.59
Ga2 0.2901 0.2901 0.9558  1 Al 2.55, 2 Ga 2.58
Ga3 0.7099 0.7099 0.0442  1 Al 2.55, 2 Ga 2.58
Ga4 0.9303 0.9303 0.5973  2 Al 2.56, 1 Ga 2.59

# 2
Below is crystalline Na2GaCl5 at its relaxed geometry, with properties calculated at the PBE-GGA level.

Values from the calculation:
The value obtained for the spin magnetization is 0.00 μB per formula unit. Its uncorrected formation energy is -1.403 eV per atom. As for the total energy: -26.1 eV per cell. The value obtained for the volume is 35.402 A^3/atom. The value obtained for the excess energy over the best structure of this formula in the dataset is 32 kJ/mol of formula units.

Unit cell a=7.1901 b=7.1901 c=7.2639 alpha=115.68 beta=115.68 gamma=60.70
Closest atoms and distances in Å follow each position.
Positions (direct):
Na1 0.0000 0.0000 0.0000  4 Cl 2.74-2.76
Na2 0.5199 0.5199 0.4656  5 Cl 2.77-2.81
Ga1 0.8806 0.8806 0.3991  5 Cl 2.22-2.36
Cl1 0.1148 0.6716 0.1736  1 Ga 2.36
Cl2 0.1911 0.7452 0.6719  1 Ga 2.36
Cl3 0.6716 0.1148 0.1736  1 Ga 2.36
Cl4 0.6787 0.6787 0.2946  1 Ga 2.22
Cl5 0.7452 0.1911 0.6719  1 Ga 2.36

# 3
Below is crystalline Ac2HoZn3Pt4 at its relaxed geometry, with properties calculated at the PBE-GGA level.

Values from the calculation:
The value obtained for the spin magnetization is 0.00 μB per formula unit. As for the total energy: -49.4 eV per cell. The value obtained for the volume is 21.784 A^3/atom. The value obtained for the energy relative to the elements is -0.86 eV/atom.

Unit cell a=4.3192 b=4.3192 c=11.6770 alpha=90.00 beta=90.00 gamma=90.00
Closest atoms and distances in Å follow each position.
Positions (direct):
Ac1 0.0000 0.5000 0.2272  4 Zn 3.30, 8 Pt 3.35-3.42
Ac2 0.5000 0.0000 0.7728  4 Zn 3.30, 8 Pt 3.35-3.42
Ho1 0.0000 0.0000 0.5000  4 Pt 2.82, 4 Zn 3.05
Zn1 0.0000 0.5000 0.8788  5 Pt 2.58-2.61
Zn2 0.5000 0.0000 0.1212  5 Pt 2.58-2.61
Zn3 0.5000 0.5000 0.5000  4 Pt 2.82, 4 Ho 3.05
Pt1 0.0000 0.0000 0.0000  4 Zn 2.58
Pt2 0.0000 0.5000 0.6555  3 Zn 2.61-2.82, 2 Ho 2.82
Pt3 0.5000 0.0000 0.3445  3 Zn 2.61-2.82, 2 Ho 2.82
Pt4 0.5000 0.5000 0.0000  4 Zn 2.58

# 4
Below is crystalline NiPd6Pt3 at its relaxed geometry, with properties calculated at the PBE-GGA level.

Values from the calculation:
The value obtained for the spin magnetization is 3.02 μB per formula unit. As for the total energy: -52.9 eV per cell. The value obtained for the volume is 15.811 A^3/atom. The value obtained for the energy relative to the elements is 0.21 eV/atom.

Unit cell a=5.0713 b=5.0713 c=7.0991 alpha=90.00 beta=90.00 gamma=120.00
Closest atoms and distances in Å follow each position.
Positions (direct):
Ni1 0.0000 0.0000 0.0000  6 Pd 2.38
Pd1 0.0000 0.3936 0.8172  1 Ni 2.38
Pd2 0.0000 0.6064 0.1828  1 Ni 2.38
Pd3 0.3936 0.0000 0.8172  1 Ni 2.38
Pd4 0.3936 0.3936 0.1828  1 Ni 2.38
Pd5 0.6064 0.0000 0.1828  1 Ni 2.38
Pd6 0.6064 0.6064 0.8172  1 Ni 2.38
Pt1 0.0000 0.0000 0.5000  6 Pt 2.93, 6 Pd 3.01
Pt2 0.3333 0.6667 0.5000  6 Pd 2.74, 6 Pt 2.93
Pt3 0.6667 0.3333 0.5000  6 Pd 2.74, 6 Pt 2.93

# 5
Below is crystalline SrCaTe2Br at its relaxed geometry, with properties calculated at the PBE-GGA level.

Values from the calculation:
The value obtained for the spin magnetization is 0.00 μB per formula unit. Its uncorrected formation energy is -0.538 eV per atom. As for the total energy: -14.3 eV per cell. The value obtained for the volume is 47.150 A^3/atom.

Unit cell a=5.6055 b=5.6055 c=7.5028 alpha=90.00 beta=90.00 gamma=90.00
Closest atoms and distances in Å follow each position.
Positions (direct):
Sr1 0.0000 0.0000 0.0000  2 Ca 3.75, 4 Br 3.96
Ca1 0.0000 0.0000 0.5000  4 Te 2.80
Te1 0.0000 0.5000 0.5000  2 Ca 2.80
Te2 0.5000 0.0000 0.5000  2 Ca 2.80
Br1 0.5000 0.5000 0.0000  4 Sr 3.96

# 6
Below is crystalline TaCSeBr2 at its relaxed geometry, with properties calculated at the PBE-GGA level.

Values from the calculation:
The value obtained for the spin magnetization is 2.01 μB per formula unit. Its uncorrected formation energy is 1.505 eV per atom. As for the total energy: -20.4 eV per cell. The value obtained for the volume is 18.301 A^3/atom. The value obtained for the excess energy over the best structure of this formula in the dataset is 170 kJ/mol of formula units.

Unit cell a=4.4717 b=4.4717 c=4.5760 alpha=90.00 beta=90.00 gamma=90.00
Closest atoms and distances in Å follow each position.
Positions (direct):
Ta1 0.0000 0.0000 0.0000  4 Se 3.16, 8 Br 3.20
C1 0.5000 0.5000 0.5000  4 Br 2.24, 2 Se 2.29
Se1 0.5000 0.5000 0.0000  2 C 2.29
Br1 0.0000 0.5000 0.5000  2 C 2.24
Br2 0.5000 0.0000 0.5000  2 C 2.24

# 7
Below is crystalline Ca2InTe at its relaxed geometry, with properties calculated at the PBE-GGA level.

Values from the calculation:
The value obtained for the spin magnetization is 0.00 μB per formula unit. Its uncorrected formation energy is -0.649 eV per atom. As for the total energy: -25.0 eV per cell. The value obtained for the volume is 33.916 A^3/atom. The value obtained for the excess energy over the best structure of this formula in the dataset is 77 kJ/mol of formula units.

Unit cell a=7.0861 b=7.0861 c=7.0861 alpha=106.38 beta=106.38 gamma=115.85
Closest atoms and distances in Å follow each position.
Positions (direct):
Ca1 0.1109 0.6250 0.9859  2 Te 3.07, 2 In 3.23
Ca2 0.3750 0.3609 0.4859  2 Te 3.07, 2 In 3.23
Ca3 0.6391 0.1250 0.0141  2 Te 3.07, 2 In 3.23
Ca4 0.8750 0.8891 0.5141  2 Te 3.07, 2 In 3.23
In1 0.2500 0.7500 0.5000  4 Ca 3.23
In2 0.5000 0.5000 0.0000  4 Ca 3.23
Te1 0.0000 0.0000 0.0000  4 Ca 3.07
Te2 0.7500 0.2500 0.5000  4 Ca 3.07

# 8
Below is crystalline K3Tl5O12 at its relaxed geometry, with properties calculated at the PBE-GGA level.

Values from the calculation:
The value obtained for the spin magnetization is 6.00 μB per formula unit. Its uncorrected formation energy is -0.409 eV per atom. As for the total energy: -331.2 eV per cell. The value obtained for the volume is 18.045 A^3/atom.

Unit cell a=12.3317 b=12.3317 c=12.3317 alpha=109.47 beta=109.47 gamma=109.47
Closest atoms and distances in Å follow each position.
Positions (direct):
K1 0.1250 0.2500 0.3750  8 O 2.81-2.83
K2 0.1250 0.3750 0.7500  8 O 2.81-2.83
K3 0.2500 0.3750 0.1250  8 O 2.81-2.83
K4 0.2500 0.8750 0.6250  8 O 2.81-2.83
K5 0.3750 0.1250 0.2500  8 O 2.81-2.83
K6 0.3750 0.7500 0.1250  8 O 2.81-2.83
K7 0.6250 0.2500 0.8750  8 O 2.81-2.83
K8 0.6250 0.8750 0.7500  8 O 2.81-2.83
K9 0.7500 0.1250 0.3750  8 O 2.81-2.83
K10 0.7500 0.6250 0.8750  8 O 2.81-2.83
K11 0.8750 0.6250 0.2500  8 O 2.81-2.83
K12 0.8750 0.7500 0.6250  8 O 2.81-2.83
Tl1 0.0000 0.0000 0.0000  6 O 2.23
Tl2 0.0000 0.0000 0.5000  6 O 2.23
Tl3 0.0000 0.5000 0.0000  6 O 2.23
Tl4 0.0000 0.5000 0.5000  6 O 2.23
Tl5 0.1250 0.7500 0.8750  4 O 2.16
Tl6 0.1250 0.8750 0.2500  4 O 2.16
Tl7 0.2500 0.1250 0.8750  4 O 2.16
Tl8 0.2500 0.6250 0.3750  4 O 2.16
Tl9 0.3750 0.2500 0.6250  4 O 2.16
Tl10 0.3750 0.6250 0.7500  4 O 2.16
Tl11 0.5000 0.0000 0.0000  6 O 2.23
Tl12 0.5000 0.0000 0.5000  6 O 2.23
Tl13 0.5000 0.5000 0.0000  6 O 2.23
Tl14 0.5000 0.5000 0.5000  6 O 2.23
Tl15 0.6250 0.3750 0.2500  4 O 2.16
Tl16 0.6250 0.7500 0.3750  4 O 2.16
Tl17 0.7500 0.3750 0.6250  4 O 2.16
Tl18 0.7500 0.8750 0.1250  4 O 2.16
Tl19 0.8750 0.1250 0.7500  4 O 2.16
Tl20 0.8750 0.2500 0.1250  4 O 2.16
O1 0.0230 0.1981 0.1114  2 Tl 2.16-2.23
O2 0.0230 0.3249 0.9115  2 Tl 2.16-2.23
O3 0.0866 0.6981 0.6751  2 Tl 2.16-2.23
O4 0.0866 0.8886 0.4115  2 Tl 2.16-2.23
O5 0.0885 0.6114 0.4134  2 Tl 2.16-2.23
O6 0.0885 0.9770 0.6751  2 Tl 2.16-2.23
O7 0.1114 0.0230 0.1981  2 Tl 2.16-2.23
O8 0.1114 0.5885 0.9134  2 Tl 2.16-2.23
O9 0.1751 0.1981 0.5866  2 Tl 2.16-2.23
O10 0.1751 0.4770 0.5885  2 Tl 2.16-2.23
O11 0.1981 0.1114 0.0230  2 Tl 2.16-2.23
O12 0.1981 0.5866 0.1751  2 Tl 2.16-2.23
O13 0.3019 0.3249 0.9134  2 Tl 2.16-2.23
O14 0.3019 0.4770 0.3886  2 Tl 2.16-2.23
O15 0.3249 0.9115 0.0230  2 Tl 2.16-2.23
O16 0.3249 0.9134 0.3019  2 Tl 2.16-2.23
O17 0.3886 0.3019 0.4770  2 Tl 2.16-2.23
O18 0.3886 0.5866 0.9115  2 Tl 2.16-2.23
O19 0.4115 0.0866 0.8886  2 Tl 2.16-2.23
O20 0.4115 0.8249 0.5230  2 Tl 2.16-2.23
O21 0.4134 0.0885 0.6114  2 Tl 2.16-2.23
O22 0.4134 0.8249 0.8019  2 Tl 2.16-2.23
O23 0.4770 0.3886 0.3019  2 Tl 2.16-2.23
O24 0.4770 0.5885 0.1751  2 Tl 2.16-2.23
O25 0.5230 0.4115 0.8249  2 Tl 2.16-2.23
O26 0.5230 0.6114 0.6981  2 Tl 2.16-2.23
O27 0.5866 0.1751 0.1981  2 Tl 2.16-2.23
O28 0.5866 0.9115 0.3886  2 Tl 2.16-2.23
O29 0.5885 0.1751 0.4770  2 Tl 2.16-2.23
O30 0.5885 0.9134 0.1114  2 Tl 2.16-2.23
O31 0.6114 0.4134 0.0885  2 Tl 2.16-2.23
O32 0.6114 0.6981 0.5230  2 Tl 2.16-2.23
O33 0.6751 0.0866 0.6981  2 Tl 2.16-2.23
O34 0.6751 0.0885 0.9770  2 Tl 2.16-2.23
O35 0.6981 0.5230 0.6114  2 Tl 2.16-2.23
O36 0.6981 0.6751 0.0866  2 Tl 2.16-2.23
O37 0.8019 0.4134 0.8249  2 Tl 2.16-2.23
O38 0.8019 0.8886 0.9770  2 Tl 2.16-2.23
O39 0.8249 0.5230 0.4115  2 Tl 2.16-2.23
O40 0.8249 0.8019 0.4134  2 Tl 2.16-2.23
O41 0.8886 0.4115 0.0866  2 Tl 2.16-2.23
O42 0.8886 0.9770 0.8019  2 Tl 2.16-2.23
O43 0.9115 0.0230 0.3249  2 Tl 2.16-2.23
O44 0.9115 0.3886 0.5866  2 Tl 2.16-2.23
O45 0.9134 0.1114 0.5885  2 Tl 2.16-2.23
O46 0.9134 0.3019 0.3249  2 Tl 2.16-2.23
O47 0.9770 0.6751 0.0885  2 Tl 2.16-2.23
O48 0.9770 0.8019 0.8886  2 Tl 2.16-2.23

# 9
Below is crystalline Ba2CdHg12 at its relaxed geometry, with properties calculated at the PBE-GGA level.

Values from the calculation:
The value obtained for the spin magnetization is 0.00 μB per formula unit. As for the total energy: -23.2 eV per cell. The value obtained for the volume is 30.007 A^3/atom. The value obtained for the energy relative to the elements is -0.21 eV/atom.

Unit cell a=7.1608 b=7.1608 c=17.5563 alpha=90.00 beta=90.00 gamma=90.00
Closest atoms and distances in Å follow each position.
Positions (direct):
Ba1 0.2500 0.7500 0.2423  14 Hg 3.68-4.06
Ba2 0.2500 0.7500 0.7577  14 Hg 3.68-4.06
Ba3 0.7500 0.2500 0.2423  14 Hg 3.68-4.06
Ba4 0.7500 0.2500 0.7577  14 Hg 3.68-4.06
Cd1 0.2500 0.7500 0.0000  8 Hg 2.97-2.99
Cd2 0.7500 0.2500 0.0000  8 Hg 2.97-2.99
Hg1 0.0010 0.5010 0.0895  2 Cd 2.97-2.99, 3 Hg 3.03-3.14
Hg2 0.0010 0.9990 0.9105  2 Cd 2.97-2.99, 3 Hg 3.03-3.14
Hg3 0.0921 0.5921 0.4317  6 Hg 3.04-3.29
Hg4 0.0921 0.9079 0.5683  6 Hg 3.04-3.29
Hg5 0.2500 0.2500 0.1844  5 Hg 2.94-3.03
Hg6 0.2500 0.2500 0.3520  5 Hg 2.94-3.04
Hg7 0.2500 0.2500 0.6480  5 Hg 2.94-3.04
Hg8 0.2500 0.2500 0.8156  5 Hg 2.94-3.03
Hg9 0.4079 0.5921 0.5683  6 Hg 3.04-3.29
Hg10 0.4079 0.9079 0.4317  6 Hg 3.04-3.29
Hg11 0.4990 0.5010 0.9105  2 Cd 2.97-2.99, 3 Hg 3.03-3.14
Hg12 0.4990 0.9990 0.0895  2 Cd 2.97-2.99, 3 Hg 3.03-3.14
Hg13 0.5010 0.0010 0.9105  2 Cd 2.97-2.99, 3 Hg 3.03-3.14
Hg14 0.5010 0.4990 0.0895  2 Cd 2.97-2.99, 3 Hg 3.03-3.14
Hg15 0.5921 0.0921 0.5683  6 Hg 3.04-3.29
Hg16 0.5921 0.4079 0.4317  6 Hg 3.04-3.29
Hg17 0.7500 0.7500 0.1844  5 Hg 2.94-3.03
Hg18 0.7500 0.7500 0.3520  5 Hg 2.94-3.04
Hg19 0.7500 0.7500 0.6480  5 Hg 2.94-3.04
Hg20 0.7500 0.7500 0.8156  5 Hg 2.94-3.03
Hg21 0.9079 0.0921 0.4317  6 Hg 3.04-3.29
Hg22 0.9079 0.4079 0.5683  6 Hg 3.04-3.29
Hg23 0.9990 0.0010 0.0895  2 Cd 2.97-2.99, 3 Hg 3.03-3.14
Hg24 0.9990 0.4990 0.9105  2 Cd 2.97-2.99, 3 Hg 3.03-3.14

# 10
Below is crystalline MgAuS2N at its relaxed geometry, with properties calculated at the PBE-GGA level.

Values from the calculation:
The value obtained for the spin magnetization is 0.00 μB per formula unit. Its uncorrected formation energy is 1.016 eV per atom. As for the total energy: -16.4 eV per cell. The value obtained for the volume is 18.174 A^3/atom. The value obtained for the excess energy over the best structure of this formula in the dataset is 152 kJ/mol of formula units.

Unit cell a=4.8417 b=4.8417 c=3.8764 alpha=90.00 beta=90.00 gamma=90.00
Closest atoms and distances in Å follow each position.
Positions (direct):
Mg1 0.0000 0.0000 0.0000  2 N 1.94
Au1 0.5000 0.5000 0.5000  8 S 3.10, 4 N 3.42
S1 0.0000 0.5000 0.0000  2 Mg 2.42
S2 0.5000 0.0000 0.0000  2 Mg 2.42
N1 0.0000 0.0000 0.5000  2 Mg 1.94

# 11
Below is crystalline NaSbIr2Rh at its relaxed geometry, with properties calculated at the PBE-GGA level.

Values from the calculation:
The value obtained for the spin magnetization is 2.10 μB per formula unit. Its uncorrected formation energy is 1.125 eV per atom. As for the total energy: -24.9 eV per cell. The value obtained for the volume is 23.721 A^3/atom.

Unit cell a=4.9036 b=4.9036 c=4.9325 alpha=90.00 beta=90.00 gamma=90.00
Closest atoms and distances in Å follow each position.
Positions (direct):
Na1 0.0000 0.0000 0.0000  4 Sb 3.47, 8 Ir 3.48
Sb1 0.5000 0.5000 0.0000  2 Rh 2.47
Ir1 0.0000 0.5000 0.5000  2 Rh 2.45
Ir2 0.5000 0.0000 0.5000  2 Rh 2.45
Rh1 0.5000 0.5000 0.5000  4 Ir 2.45, 2 Sb 2.47